AcHoV2O8: relaxed, GGA+U.

Lattice parameters (Å, degrees): 5.714 5.714 7.243 90.00 90.00 120.00
Element x y z (fractional)
Ac (0.000, 0.000, 0.000)
Ho (0.000, 0.000, 0.500)
V (0.667, 0.333, 0.215)
V (0.333, 0.667, 0.785)
O (0.333, 0.667, 0.018)
O (0.327, 0.164, 0.285)
O (0.836, 0.163, 0.285)
O (0.667, 0.333, 0.982)
O (0.164, 0.837, 0.715)
O (0.673, 0.836, 0.715)
O (0.163, 0.327, 0.715)
O (0.837, 0.673, 0.285)

Summary:
- calculated total energy (eV per cell) = -95.314